A plane-wave DFT calculation with GGA-PBE was carried out for a relaxed Si2SbIr crystal.

Properties
Formation energy without anion corrections in eV per atom: 0.4509

Lattice parameters (Å, degrees): 3.146 4.717 5.792 52.69 90.00 90.00
Element x y z (fractional)
1 Ir 0.500 0.500 0.500
2 Si 0.000 0.000 0.000
3 Si 0.500 0.500 0.000
4 Sb 0.000 0.000 0.500